{
  "formula": "SbAsRu2Pb",
  "functional": "meta-GGA SCAN",
  "state": "single point on PBEsol structure",
  "n_ef_per_ev_cell": 5.70,
  "volume_a3_per_atom": 26.82,
  "magmom_total_mub_per_fu": 2.88,
  "total_energy_ha_per_atom": -1.41814,
  "cell": [[4.945, 0.000, 0.000], [0.000, 4.945, 0.000], [0.000, 0.000, 5.485]],
  "species": ["Sb", "As", "Ru", "Ru", "Pb"],
  "frac_coords": [[0.000, 0.000, 0.000], [0.500, 0.500, 0.000], [0.000, 0.500, 0.500], [0.500, 0.000, 0.500], [0.000, 0.000, 0.500]]
}